Entry from Alexandria: a geometry-optimized Rb3H5Pd structure (GGA-PBE).

Lattice parameters (Å, degrees): 7.7378 7.7378 6.0219 90.00 90.00 90.00
Atoms (fractional coordinates):
Rb (0.0000, 0.0000, 0.0000)
Rb (0.1846, 0.3154, 0.5000)
Rb (0.3154, 0.8154, 0.5000)
Rb (0.5000, 0.5000, 0.0000)
Rb (0.6846, 0.1846, 0.5000)
Rb (0.8154, 0.6846, 0.5000)
H (0.0000, 0.0000, 0.5000)
H (0.1088, 0.6088, 0.1930)
H (0.1088, 0.6088, 0.8070)
H (0.3912, 0.1088, 0.1930)
H (0.3912, 0.1088, 0.8070)
H (0.5000, 0.5000, 0.5000)
H (0.6088, 0.8912, 0.1930)
H (0.6088, 0.8912, 0.8070)
H (0.8912, 0.3912, 0.1930)
H (0.8912, 0.3912, 0.8070)
Pd (0.0000, 0.5000, 0.0000)
Pd (0.5000, 0.0000, 0.0000)

Computed properties:
- E_tot: -3.022 eV per atom
- Excess energy over the best structure of this formula in the dataset: 0 meV/atom
- Total moment: 0.0 μB per cell